Density functional theory data (PBE with a Hubbard U) for NiHNF2 after structural relaxation.

a b c (Å): 4.094 4.094 2.584
angles (deg): 90.00 90.00 90.00
Space group P4/mmm (No. 123)
Symmetry-distinct sites (fractional):
Ni1 0.000 0.000 0.000 x1
H1 0.500 0.500 0.500 x1
N1 0.500 0.500 0.000 x1
F1 0.000 0.500 0.500 x2

Calculated values
Electronic total energy, eV for the cell shown: -16.430
N(E_F), states/eV per atom: 0.86
Volume, Å³/f.u.: 43